[1]
Ag6Pd12Se | PBE-GGA | optimized geometry

```
Ag6Pd12Se
1.0
6.193 3.576 2.319
-6.193 3.576 2.319
0.000 -7.151 2.319
Ag Pd Se
6 12 1
direct
0.057 0.582 0.372 Ag
0.372 0.057 0.582 Ag
0.418 0.628 0.943 Ag
0.582 0.372 0.057 Ag
0.628 0.943 0.418 Ag
0.943 0.418 0.628 Ag
0.102 0.153 0.736 Pd
0.153 0.736 0.102 Pd
0.211 0.314 0.472 Pd
0.264 0.898 0.847 Pd
0.314 0.472 0.211 Pd
0.472 0.211 0.314 Pd
0.528 0.789 0.686 Pd
0.686 0.528 0.789 Pd
0.736 0.102 0.153 Pd
0.789 0.686 0.528 Pd
0.847 0.264 0.898 Pd
0.898 0.847 0.264 Pd
0.000 0.000 0.000 Se
```

Computed properties:
* SG: R-3, No. 148



[2]
La5TbNdTm2 | PBE-GGA | optimized geometry

```
La5TbNdTm2
1.0
2.750 -10.852 0.000
2.750 10.852 0.000
0.000 0.000 10.701
La Tb Nd Tm
10 2 2 4
direct
0.000 0.000 0.000 La
0.000 0.000 0.500 La
0.123 0.877 0.750 La
0.220 0.780 0.441 La
0.221 0.779 0.061 La
0.500 0.500 0.250 La
0.500 0.500 0.750 La
0.779 0.221 0.561 La
0.780 0.220 0.941 La
0.877 0.123 0.250 La
0.100 0.900 0.250 Tb
0.900 0.100 0.750 Tb
0.285 0.715 0.751 Nd
0.715 0.285 0.251 Nd
0.387 0.613 0.503 Tm
0.388 0.612 0.997 Tm
0.612 0.388 0.497 Tm
0.613 0.387 0.003 Tm
```

Computed properties:
* SG: Cmc2_1, No. 36
* energy relative to the elements: 128 meV/atom



[3]
Pm2ErOs | PBE-GGA | optimized geometry

```
Pm2ErOs
1.0
7.439 0.000 0.000
0.000 9.367 0.000
0.000 0.000 6.422
Pm Er Os
8 4 4
direct
0.176 0.064 0.171 Pm
0.176 0.436 0.171 Pm
0.324 0.564 0.671 Pm
0.324 0.936 0.671 Pm
0.676 0.064 0.329 Pm
0.676 0.436 0.329 Pm
0.824 0.564 0.829 Pm
0.824 0.936 0.829 Pm
0.043 0.250 0.639 Er
0.457 0.750 0.139 Er
0.543 0.250 0.861 Er
0.957 0.750 0.361 Er
0.116 0.750 0.966 Os
0.384 0.250 0.466 Os
0.616 0.750 0.534 Os
0.884 0.250 0.034 Os
```

Computed properties:
* SG: Pnma, No. 62
* energy relative to the elements: -176 meV/atom
* distance to the lowest polymorph of the same formula: 0.0 kJ per mole of atoms



[4]
NdDySc2S4 | PBE-GGA | optimized geometry

```
NdDySc2S4
1.0
6.635 0.000 0.000
0.000 3.795 0.000
-2.181 0.000 6.373
Nd Dy Sc S
1 1 2 4
direct
0.000 0.000 0.000 Nd
0.500 0.500 0.000 Dy
0.000 0.500 0.500 Sc
0.500 0.000 0.500 Sc
0.249 0.000 0.729 S
0.265 0.500 0.276 S
0.735 0.500 0.724 S
0.751 0.000 0.271 S
```

Computed properties:
* SG: P2/m, No. 10



Number 1: VASP energy -4.39 eV per atom. Number 2: VASP energy -4.65 eV per atom. Number 3: VASP energy -6.50 eV per atom. Number 4: VASP energy -6.74 eV per atom.